RbHg2AuI | PBE | optimized geometry

Computed properties:
- polymorph energy (0 for the lowest one) (meV/atom) = 37.7
- spin magnetization (μB per atom) = 0.000
- calculated volume (Å³/cell) = 214

abc: 5.377 5.377 7.414
angles: 90.00 90.00 90.00
Sites, in units of the cell vectors:
Rb 0.000 0.000 0.000
Hg 0.000 0.500 0.500
Hg 0.500 0.000 0.500
Au 0.500 0.500 0.500
I 0.500 0.500 0.000